*i*
The following is a DFT calculation (PBE) of a geometry-optimized Co2IrBr structure.

Calculated density ... 11.28 Mg/m³
N(E_F) ... 11.0 states/eV/cell
Total magnetization ... 4.1 μB/f.u.

Unit cell a=2.8498 b=4.5063 c=8.9406 alpha=90.00 beta=90.00 gamma=90.00
Space group Imm2 (No. 44)
Asymmetric unit:
Co1 0.0000 0.0000 0.0000
Co2 0.0000 0.5000 0.2590
Ir1 0.0000 0.5000 0.7582
Br1 0.0000 0.0000 0.5134



*ii*
The following is a DFT calculation (PBE) of a geometry-optimized Co2IrBr structure.

Calculated density ... 11.28 Mg/m³
N(E_F) ... 11.2 states/eV/cell
Total magnetization ... 4.2 μB/f.u.

Unit cell a=4.0458 b=4.0458 c=7.0152 alpha=90.00 beta=90.00 gamma=90.00
Space group I4/mmm (No. 139)
Asymmetric unit:
Co1 0.0000 0.5000 0.2500
Ir1 0.0000 0.0000 0.0000
Br1 0.0000 0.0000 0.5000



*iii*
The following is a DFT calculation (PBE) of a geometry-optimized Co2IrBr structure.

Calculated density ... 8.92 Mg/m³
N(E_F) ... 10.8 states/eV/cell
Total magnetization ... 4.7 μB/f.u.

Unit cell a=7.8072 b=2.8894 c=7.4671 alpha=90.00 beta=120.46 gamma=90.00
Space group C2/m (No. 12)
Asymmetric unit:
Co1 0.1380 0.0000 0.3310
Ir1 0.0000 0.5000 0.5000
Br1 0.0000 0.5000 0.0000



Energies in meV per atom, measured from the most stable structure: *i* 240; *ii* 342; *iii* 0.



*i*
The following is a DFT calculation (PBE) of a geometry-optimized Co2IrBr structure.

Calculated density ... 8.76 Mg/m³
N(E_F) ... 8.4 states/eV/cell
Total magnetization ... 0.0 μB/f.u.

Unit cell a=5.8370 b=5.8370 c=8.6747 alpha=90.00 beta=90.00 gamma=90.00
Space group I-42d (No. 122)
Asymmetric unit:
Co1 0.2327 0.2500 0.1250
Ir1 0.0000 0.0000 0.0000
Br1 0.0000 0.0000 0.5000



*ii*
The following is a DFT calculation (PBE) of a geometry-optimized Co2IrBr structure.

Calculated density ... 11.02 Mg/m³
N(E_F) ... 26.9 states/eV/cell
Total magnetization ... 4.6 μB/f.u.

Unit cell a=6.1714 b=6.1714 c=6.1714 alpha=90.00 beta=90.00 gamma=90.00
Space group Fm-3m (No. 225)
Asymmetric unit:
Co1 0.2500 0.2500 0.2500
Ir1 0.0000 0.0000 0.0000
Br1 0.0000 0.0000 0.5000



Energies in meV per atom, measured from the most stable structure: *i* 0; *ii* 67.



*i*
The following is a DFT calculation (PBE) of a geometry-optimized Co2IrBr structure.

Calculated density ... 9.99 Mg/m³
N(E_F) ... 4.5 states/eV/cell
Total magnetization ... 3.4 μB/f.u.

Unit cell a=2.8087 b=3.3764 c=6.8338 alpha=90.00 beta=90.00 gamma=90.00
Space group Pmmm (No. 47)
Asymmetric unit:
Co1 0.0000 0.0000 0.1904
Ir1 0.5000 0.5000 0.0000
Br1 0.5000 0.0000 0.5000



*ii*
The following is a DFT calculation (PBE) of a geometry-optimized Co2IrBr structure.

Calculated density ... 11.15 Mg/m³
N(E_F) ... 18.1 states/eV/cell
Total magnetization ... 4.1 μB/f.u.

Unit cell a=2.8962 b=2.8962 c=23.9907 alpha=90.00 beta=90.00 gamma=120.00
Space group R-3m (No. 166, hexagonal axes)
Asymmetric unit:
Co1 0.0000 0.0000 0.2489
Ir1 0.0000 0.0000 0.5000
Br1 0.0000 0.0000 0.0000



*iii*
The following is a DFT calculation (PBE) of a geometry-optimized Co2IrBr structure.

Calculated density ... 10.12 Mg/m³
N(E_F) ... 18.6 states/eV/cell
Total magnetization ... 4.4 μB/f.u.

Unit cell a=2.7996 b=2.7996 c=28.2941 alpha=90.00 beta=90.00 gamma=120.00
Space group R3m (No. 160, hexagonal axes)
Asymmetric unit:
Co1 0.0000 0.0000 0.0000
Co2 0.0000 0.0000 0.2668
Ir1 0.0000 0.0000 0.7369
Br1 0.0000 0.0000 0.5299



*iv*
The following is a DFT calculation (PBE) of a geometry-optimized Co2IrBr structure.

Calculated density ... 10.20 Mg/m³
N(E_F) ... 5.7 states/eV/cell
Total magnetization ... 5.2 μB/f.u.

Unit cell a=3.0914 b=3.0914 c=6.6425 alpha=90.00 beta=90.00 gamma=90.00
Space group P4mm (No. 99)
Asymmetric unit:
Co1 0.0000 0.0000 0.0000
Co2 0.5000 0.5000 0.1903
Ir1 0.0000 0.0000 0.3812
Br1 0.5000 0.5000 0.7650



Energies in meV per atom, measured from the most stable structure: *i* 0; *ii* 128; *iii* 179; *iv* 191.



*i*
The following is a DFT calculation (PBE) of a geometry-optimized Co2IrBr structure.

Calculated density ... 11.33 Mg/m³
N(E_F) ... 13.9 states/eV/cell
Total magnetization ... 4.2 μB/f.u.

Unit cell a=5.5257 b=7.2043 c=2.8715 alpha=90.00 beta=90.00 gamma=90.00
Space group Cmmm (No. 65)
Asymmetric unit:
Co1 0.2500 0.2500 0.0000
Ir1 0.0000 0.0000 0.5000
Br1 0.0000 0.5000 0.5000



*ii*
The following is a DFT calculation (PBE) of a geometry-optimized Co2IrBr structure.

Calculated density ... 11.38 Mg/m³
N(E_F) ... 10.0 states/eV/cell
Total magnetization ... 4.0 μB/f.u.

Unit cell a=2.9187 b=4.5089 c=8.6466 alpha=90.00 beta=90.00 gamma=90.00
Space group Immm (No. 71)
Asymmetric unit:
Co1 0.0000 0.0000 0.2391
Ir1 0.0000 0.5000 0.0000
Br1 0.0000 0.5000 0.5000



*iii*
The following is a DFT calculation (PBE) of a geometry-optimized Co2IrBr structure.

Calculated density ... 11.07 Mg/m³
N(E_F) ... 22.0 states/eV/cell
Total magnetization ... 5.0 μB/f.u.

Unit cell a=6.1626 b=6.1626 c=6.1626 alpha=90.00 beta=90.00 gamma=90.00
Space group F-43m (No. 216)
Asymmetric unit:
Co1 0.0000 0.0000 0.0000
Co2 0.2500 0.2500 0.2500
Ir1 0.2500 0.2500 0.7500
Br1 0.0000 0.0000 0.5000



Energies in meV per atom, measured from the most stable structure: *i* 0; *ii* 89; *iii* 190.



*i*
The following is a DFT calculation (PBE) of a geometry-optimized Co2IrBr structure.

Calculated density ... 8.69 Mg/m³
N(E_F) ... 8.2 states/eV/cell
Total magnetization ... 4.4 μB/f.u.

Unit cell a=7.9254 b=2.9516 c=6.4403 alpha=90.00 beta=98.21 gamma=90.00
Space group Cm (No. 8)
Asymmetric unit:
Co1 0.0000 0.0000 0.0000
Co2 0.2211 0.5000 0.1405
Ir1 0.2680 0.0000 0.8351
Br1 0.1744 0.5000 0.4979



*ii*
The following is a DFT calculation (PBE) of a geometry-optimized Co2IrBr structure.

Calculated density ... 11.25 Mg/m³
N(E_F) ... 11.9 states/eV/cell
Total magnetization ... 4.4 μB/f.u.

Unit cell a=3.7775 b=3.7775 c=8.0695 alpha=90.00 beta=90.00 gamma=90.00
Space group I-4m2 (No. 119)
Asymmetric unit:
Co1 0.0000 0.0000 0.0000
Co2 0.0000 0.5000 0.2500
Ir1 0.0000 0.5000 0.7500
Br1 0.0000 0.0000 0.5000



*iii*
The following is a DFT calculation (PBE) of a geometry-optimized Co2IrBr structure.

Calculated density ... 10.76 Mg/m³
N(E_F) ... 6.6 states/eV/cell
Total magnetization ... 4.9 μB/f.u.

Unit cell a=2.9434 b=2.9434 c=6.9480 alpha=90.00 beta=90.00 gamma=90.00
Space group P4/mmm (No. 123)
Asymmetric unit:
Co1 0.0000 0.0000 0.2261
Ir1 0.5000 0.5000 0.0000
Br1 0.5000 0.5000 0.5000



Energies in meV per atom, measured from the most stable structure: *i* 9; *ii* 344; *iii* 0.



*i*
The following is a DFT calculation (PBE) of a geometry-optimized Co3IrBr structure.

Calculated density ... 7.26 Mg/m³
N(E_F) ... 4.1 states/eV/cell
Total magnetization ... 7.2 μB/f.u.

Unit cell a=4.6823 b=4.6823 c=4.6823 alpha=90.00 beta=90.00 gamma=90.00
Space group Pm-3m (No. 221)
Asymmetric unit:
Co1 0.0000 0.0000 0.5000
Ir1 0.0000 0.0000 0.0000
Br1 0.5000 0.5000 0.5000



*ii*
The following is a DFT calculation (PBE) of a geometry-optimized Co3IrBr structure.

Calculated density ... 9.59 Mg/m³
N(E_F) ... 7.3 states/eV/cell
Total magnetization ... 4.8 μB/f.u.

Unit cell a=4.2673 b=4.2673 c=4.2673 alpha=90.00 beta=90.00 gamma=90.00
Space group Pm-3m (No. 221)
Asymmetric unit:
Co1 0.0000 0.0000 0.5000
Ir1 0.5000 0.5000 0.5000
Br1 0.0000 0.0000 0.0000



Energies in meV per atom, measured from the most stable structure: *i* 0; *ii* 126.



*i*
The following is a DFT calculation (PBE) of a geometry-optimized K2CoBr structure.

Calculated density ... 2.30 Mg/m³
N(E_F) ... 4.3 states/eV/cell
Total magnetization ... 2.0 μB/f.u.

Unit cell a=4.1969 b=4.3806 c=17.0788 alpha=90.00 beta=90.00 gamma=90.00
Space group Imm2 (No. 44)
Asymmetric unit:
K1 0.0000 0.0000 0.0000
K2 0.0000 0.5000 0.2343
Co1 0.0000 0.0000 0.3959
Br1 0.0000 0.5000 0.6517



*ii*
The following is a DFT calculation (PBE) of a geometry-optimized K2CoBr structure.

Calculated density ... 2.26 Mg/m³
N(E_F) ... 0.8 states/eV/cell
Total magnetization ... 2.0 μB/f.u.

Unit cell a=8.1717 b=4.6595 c=8.7754 alpha=90.00 beta=107.40 gamma=90.00
Space group C2/m (No. 12)
Asymmetric unit:
K1 0.2430 0.0000 0.2332
Co1 0.0000 0.0000 0.5000
Br1 0.0000 0.5000 0.0000



*iii*
The following is a DFT calculation (PBE) of a geometry-optimized K2CoBr structure.

Calculated density ... 2.30 Mg/m³
N(E_F) ... 15.7 states/eV/cell
Total magnetization ... 2.0 μB/f.u.

Unit cell a=4.5846 b=4.5846 c=25.8347 alpha=90.00 beta=90.00 gamma=120.00
Space group R3m (No. 160, hexagonal axes)
Asymmetric unit:
K1 0.0000 0.0000 0.0000
K2 0.0000 0.0000 0.1783
Co1 0.0000 0.0000 0.7558
Br1 0.0000 0.0000 0.5893



Energies in meV per atom, measured from the most stable structure: *i* 26; *ii* 0; *iii* 39.



*i*
The following is a DFT calculation (PBE) of a geometry-optimized KCoBr2 structure.

Calculated density ... 3.88 Mg/m³
N(E_F) ... 3.4 states/eV/cell
Total magnetization ... 2.0 μB/f.u.

Unit cell a=3.7958 b=4.0788 c=14.2487 alpha=90.00 beta=90.00 gamma=90.00
Space group Imm2 (No. 44)
Asymmetric unit:
K1 0.0000 0.0000 0.0000
Co1 0.0000 0.5000 0.2365
Br1 0.0000 0.0000 0.6209
Br2 0.0000 0.5000 0.8242



*ii*
The following is a DFT calculation (PBE) of a geometry-optimized KCoBr2 structure.

Calculated density ... 4.19 Mg/m³
N(E_F) ... 1.4 states/eV/cell
Total magnetization ... 2.0 μB/f.u.

Unit cell a=4.1238 b=4.1238 c=20.8257 alpha=90.00 beta=90.00 gamma=120.00
Space group R-3m (No. 166, hexagonal axes)
Asymmetric unit:
K1 0.0000 0.0000 0.0000
Co1 0.0000 0.0000 0.5000
Br1 0.0000 0.0000 0.2287



Energies in meV per atom, measured from the most stable structure: *i* 166; *ii* 0.



*i*
The following is a DFT calculation (PBE) of a geometry-optimized KCoBr2 structure.

Calculated density ... 3.50 Mg/m³
N(E_F) ... 23.4 states/eV/cell
Total magnetization ... 2.3 μB/f.u.

Unit cell a=3.9848 b=3.9848 c=26.7067 alpha=90.00 beta=90.00 gamma=120.00
Space group R-3m (No. 166, hexagonal axes)
Asymmetric unit:
K1 0.0000 0.0000 0.0000
Co1 0.0000 0.0000 0.5000
Br1 0.0000 0.0000 0.1162



*ii*
The following is a DFT calculation (PBE) of a geometry-optimized KCoBr2 structure.

Calculated density ... 3.81 Mg/m³
N(E_F) ... 8.6 states/eV/cell
Total magnetization ... 2.0 μB/f.u.

Unit cell a=3.8255 b=6.6690 c=8.8174 alpha=90.00 beta=90.00 gamma=90.00
Space group Immm (No. 71)
Asymmetric unit:
K1 0.0000 0.0000 0.0000
Co1 0.0000 0.0000 0.5000
Br1 0.0000 0.5000 0.1842



Energies in meV per atom, measured from the most stable structure: *i* 195; *ii* 0.



*i*
The following is a DFT calculation (PBE) of a geometry-optimized KRb2CoBr6 structure.

Calculated density ... 3.62 Mg/m³
Total magnetization ... 0.2 μB/f.u.

Unit cell a=7.8132 b=7.9028 c=13.5402 alpha=90.00 beta=124.80 gamma=90.00
Space group P2_1/c (No. 14)
Asymmetric unit:
K1 0.0000 0.0000 0.0000
Rb1 0.2660 0.0549 0.7528
Co1 0.5000 0.0000 0.5000
Br1 0.2170 0.0071 0.2865
Br2 0.2831 0.6726 0.0375
Br3 0.3658 0.2432 0.0341



*ii*
The following is a DFT calculation (PBE) of a geometry-optimized KRb2CoBr6 structure.

Calculated density ... 3.62 Mg/m³
N(E_F) ... 0.0 states/eV/cell
Total magnetization ... 0.0 μB/f.u.

Unit cell a=11.1162 b=11.1162 c=11.1162 alpha=90.00 beta=90.00 gamma=90.00
Space group Fm-3m (No. 225)
Asymmetric unit:
K1 0.0000 0.0000 0.0000
Rb1 0.2500 0.2500 0.2500
Co1 0.0000 0.0000 0.5000
Br1 0.0000 0.0000 0.2816



Energies in meV per atom, measured from the most stable structure: *i* 0; *ii* 11.



*i*
The following is a DFT calculation (PBE) of a geometry-optimized KCoRe2Br structure.

Calculated density ... 8.28 Mg/m³
N(E_F) ... 14.7 states/eV/cell
Total magnetization ... 0.4 μB/f.u.

Unit cell a=4.5622 b=4.5622 c=5.3030 alpha=90.00 beta=90.00 gamma=90.00
Space group P4/mmm (No. 123)
Asymmetric unit:
K1 0.0000 0.0000 0.0000
Co1 0.5000 0.5000 0.5000
Re1 0.0000 0.5000 0.0000
Br1 0.0000 0.0000 0.5000



*ii*
The following is a DFT calculation (PBE) of a geometry-optimized KCoRe2Br structure.

Calculated density ... 8.84 Mg/m³
N(E_F) ... 4.2 states/eV/cell
Total magnetization ... 3.8 μB/f.u.

Unit cell a=4.7262 b=4.7262 c=4.6305 alpha=90.00 beta=90.00 gamma=90.00
Space group P4/mmm (No. 123)
Asymmetric unit:
K1 0.0000 0.0000 0.0000
Co1 0.5000 0.5000 0.0000
Re1 0.0000 0.5000 0.5000
Br1 0.5000 0.5000 0.5000



Energies in meV per atom, measured from the most stable structure: *i* 1614; *ii* 0.